# 1
Density functional theory data (PBE-GGA) for an optimized crystal structure of NaY2PbO.

**ΔE_f (raw)**: -1.342 eV per atom
**Magnetization**: 0.0 μB per formula unit
**Volume**: 21.631 Å³/atom
**Total DFT energy (no corrections)**: -5.925 eV/atom
**SG**: P4/mmm (123)

Unit cell a=4.7707 b=4.7707 c=4.7520 alpha=90.00 beta=90.00 gamma=90.00
With the nearest neighbours (Å) after each atom.
Atoms (fractional coordinates):
Na: 0.0000 0.0000 0.0000  2 O 2.38
Y: 0.0000 0.5000 0.5000  2 O 2.39
Y: 0.5000 0.0000 0.5000  2 O 2.39
Pb: 0.5000 0.5000 0.0000  8 Y 3.37, 4 Na 3.37
O: 0.0000 0.0000 0.5000  2 Na 2.38, 4 Y 2.39


# 2
Density functional theory data (PBE-GGA) for an optimized crystal structure of NaYPbO3.

**ΔE_f (raw)**: -2.166 eV per atom
**Magnetization**: 0.0 μB per formula unit
**Volume**: 16.532 Å³/atom
**Total DFT energy (no corrections)**: -6.560 eV/atom
**SG**: P2_1/m (11)

Unit cell a=6.5538 b=3.4529 c=8.8006 alpha=90.00 beta=95.04 gamma=90.00
With the nearest neighbours (Å) after each atom.
Atoms (fractional coordinates):
Na: 0.0914 0.2500 0.3418  4 O 2.46-2.53
Na: 0.9086 0.7500 0.6582  4 O 2.46-2.53
Y: 0.4157 0.2500 0.6536  6 O 2.29-2.32
Y: 0.5843 0.7500 0.3464  6 O 2.29-2.32
Pb: 0.2414 0.7500 0.9599  3 O 2.31-2.38
Pb: 0.7586 0.2500 0.0401  3 O 2.31-2.38
O: 0.1289 0.2500 0.7855  1 Y 2.29, 2 Pb 2.38, 2 Na 2.46
O: 0.3068 0.7500 0.4919  3 Y 2.31, 2 Na 2.53
O: 0.4784 0.2500 0.1815  1 Pb 2.31, 2 Y 2.32
O: 0.5216 0.7500 0.8185  1 Pb 2.31, 2 Y 2.32
O: 0.6932 0.2500 0.5081  3 Y 2.31, 2 Na 2.53
O: 0.8711 0.7500 0.2145  1 Y 2.29, 2 Pb 2.38, 2 Na 2.46


# 3
Density functional theory data (PBE-GGA) for an optimized crystal structure of Na3Y3PbO8.

**ΔE_f (raw)**: -2.388 eV per atom
**Magnetization**: 0.0 μB per formula unit
**Volume**: 15.239 Å³/atom
**Total DFT energy (no corrections)**: -6.836 eV/atom
**SG**: R-3m (166)

Unit cell a=6.8670 b=6.8670 c=6.8670 alpha=59.92 beta=59.92 gamma=59.92
With the nearest neighbours (Å) after each atom.
Atoms (fractional coordinates):
Na: 0.0000 0.5000 0.5000  6 O 2.54-2.59
Na: 0.5000 0.0000 0.5000  6 O 2.54-2.59
Na: 0.5000 0.5000 0.0000  6 O 2.54-2.59
Y: 0.0000 0.0000 0.5000  6 O 2.29-2.33
Y: 0.0000 0.5000 0.0000  6 O 2.29-2.33
Y: 0.5000 0.0000 0.0000  6 O 2.29-2.33
Pb: 0.5000 0.5000 0.5000  6 O 2.23
O: 0.2345 0.2345 0.2345  3 Y 2.29
O: 0.2490 0.7293 0.7293  1 Pb 2.23, 2 Y 2.33
O: 0.2707 0.2707 0.7510  1 Pb 2.23, 2 Y 2.33
O: 0.2707 0.7510 0.2707  1 Pb 2.23, 2 Y 2.33
O: 0.7293 0.2490 0.7293  1 Pb 2.23, 2 Y 2.33
O: 0.7293 0.7293 0.2490  1 Pb 2.23, 2 Y 2.33
O: 0.7510 0.2707 0.2707  1 Pb 2.23, 2 Y 2.33
O: 0.7655 0.7655 0.7655  3 Y 2.29


# 4
Density functional theory data (PBE-GGA) for an optimized crystal structure of Na4ZnPb3O8.

**ΔE_f (raw)**: -1.215 eV per atom
**Magnetization**: 0.0 μB per formula unit
**Volume**: 14.088 Å³/atom
**Total DFT energy (no corrections)**: -4.799 eV/atom
**SG**: C2/m (12)

Unit cell a=6.8569 b=6.8569 c=6.7788 alpha=119.61 beta=119.61 gamma=59.28
With the nearest neighbours (Å) after each atom.
Atoms (fractional coordinates):
Na: 0.0000 0.0000 0.0000  6 O 2.40-2.43
Na: 0.0000 0.5000 0.0000  6 O 2.50-2.71
Na: 0.5000 0.0000 0.0000  6 O 2.50-2.71
Na: 0.5000 0.5000 0.0000  6 O 2.42-2.63
Zn: 0.0000 0.0000 0.5000  4 O 2.19
Pb: 0.0000 0.5000 0.5000  6 O 2.21-2.30
Pb: 0.5000 0.0000 0.5000  6 O 2.21-2.30
Pb: 0.5000 0.5000 0.5000  6 O 2.44-2.48
O: 0.1993 0.7498 0.7032  1 Zn 2.19, 2 Pb 2.21-2.44, 1 Na 2.40
O: 0.2473 0.2473 0.2682  3 Pb 2.30-2.48, 3 Na 2.43-2.50
O: 0.2502 0.8007 0.2968  1 Zn 2.19, 2 Pb 2.21-2.44, 1 Na 2.40
O: 0.2539 0.2539 0.7328  2 Pb 2.30, 3 Na 2.42-2.50, 1 Zn 2.49
O: 0.7461 0.7461 0.2672  2 Pb 2.30, 3 Na 2.42-2.50, 1 Zn 2.49
O: 0.7498 0.1993 0.7032  1 Zn 2.19, 2 Pb 2.21-2.44, 1 Na 2.40
O: 0.7527 0.7527 0.7318  3 Pb 2.30-2.48, 3 Na 2.43-2.50
O: 0.8007 0.2502 0.2968  1 Zn 2.19, 2 Pb 2.21-2.44, 1 Na 2.40


# 5
Density functional theory data (PBE-GGA) for an optimized crystal structure of NaZnPb2O.

**ΔE_f (raw)**: 0.295 eV per atom
**Magnetization**: 0.0 μB per formula unit
**Volume**: 25.299 Å³/atom
**Total DFT energy (no corrections)**: -2.699 eV/atom
**SG**: P4/mmm (123)

Unit cell a=5.6453 b=5.6453 c=3.9691 alpha=90.00 beta=90.00 gamma=90.00
With the nearest neighbours (Å) after each atom.
Atoms (fractional coordinates):
Na: 0.0000 0.0000 0.0000  2 O 1.98
Zn: 0.5000 0.5000 0.5000  8 Pb 3.45
Pb: 0.0000 0.5000 0.0000  2 Na 2.82
Pb: 0.5000 0.0000 0.0000  2 Na 2.82
O: 0.0000 0.0000 0.5000  2 Na 1.98


# 6
Density functional theory data (PBE-GGA) for an optimized crystal structure of Na3Zn2PbO6.

**ΔE_f (raw)**: -1.256 eV per atom
**Magnetization**: 1.1 μB per formula unit
**Volume**: 12.159 Å³/atom
**Total DFT energy (no corrections)**: -4.586 eV/atom
**SG**: C2/m (12)

Unit cell a=5.5408 b=5.5408 c=5.7926 alpha=98.99 beta=98.99 gamma=120.23
With the nearest neighbours (Å) after each atom.
Atoms (fractional coordinates):
Na: 0.0000 0.0000 0.0000  6 O 2.39-2.45
Na: 0.3281 0.6719 0.0000  6 O 2.38-2.48
Na: 0.6719 0.3281 0.0000  6 O 2.38-2.48
Zn: 0.1664 0.8336 0.5000  6 O 2.15-2.17
Zn: 0.8337 0.1663 0.5000  6 O 2.15-2.17
Pb: 0.5000 0.5000 0.5000  6 O 2.21-2.22
O: 0.0883 0.4282 0.2894  2 Zn 2.15-2.17, 1 Pb 2.22, 1 Na 2.38
O: 0.2310 0.2310 0.7135  2 Zn 2.17, 1 Pb 2.21, 1 Na 2.39
O: 0.4282 0.0883 0.2894  2 Zn 2.15-2.17, 1 Pb 2.22, 1 Na 2.38
O: 0.5718 0.9117 0.7106  2 Zn 2.15-2.17, 1 Pb 2.22, 1 Na 2.38
O: 0.7690 0.7690 0.2865  2 Zn 2.17, 1 Pb 2.21, 1 Na 2.39
O: 0.9117 0.5718 0.7106  2 Zn 2.15-2.17, 1 Pb 2.22, 1 Na 2.38


# 7
Density functional theory data (PBE-GGA) for an optimized crystal structure of Na2ZnPbO4.

**ΔE_f (raw)**: -1.315 eV per atom
**Magnetization**: 0.0 μB per formula unit
**Volume**: 12.685 Å³/atom
**Total DFT energy (no corrections)**: -4.746 eV/atom
**SG**: P2/m (10)

Unit cell a=5.5843 b=3.2920 c=5.8137 alpha=90.00 beta=108.28 gamma=90.00
With the nearest neighbours (Å) after each atom.
Atoms (fractional coordinates):
Na: 0.0000 0.0000 0.0000  6 O 2.43-2.47
Na: 0.5000 0.5000 0.0000  6 O 2.42-2.49
Zn: 0.0000 0.5000 0.5000  6 O 2.21-2.22
Pb: 0.5000 0.0000 0.5000  6 O 2.17-2.26
O: 0.2379 0.0000 0.7070  1 Pb 2.17, 2 Zn 2.22
O: 0.2567 0.5000 0.2781  1 Zn 2.21, 2 Pb 2.26, 3 Na 2.42-2.43
O: 0.7433 0.5000 0.7219  1 Zn 2.21, 2 Pb 2.26, 3 Na 2.42-2.43
O: 0.7621 0.0000 0.2930  1 Pb 2.17, 2 Zn 2.22


# 8
Density functional theory data (PBE-GGA) for an optimized crystal structure of Na2Zn2PbO6.

**ΔE_f (raw)**: -1.044 eV per atom
**Magnetization**: 2.0 μB per formula unit
**Volume**: 13.356 Å³/atom
**Total DFT energy (no corrections)**: -4.557 eV/atom
**SG**: P-31m (162)

Unit cell a=5.4480 b=5.4480 c=5.7158 alpha=90.00 beta=90.00 gamma=120.00
With the nearest neighbours (Å) after each atom.
Atoms (fractional coordinates):
Na: 0.3333 0.6667 0.0000  6 O 2.47
Na: 0.6667 0.3333 0.0000  6 O 2.47
Zn: 0.3333 0.6667 0.5000  6 O 2.10
Zn: 0.6667 0.3333 0.5000  6 O 2.10
Pb: 0.0000 0.0000 0.5000  6 O 2.22
O: 0.0000 0.3512 0.3026  2 Zn 2.10, 1 Pb 2.22
O: 0.0000 0.6488 0.6974  2 Zn 2.10, 1 Pb 2.22
O: 0.3512 0.0000 0.3026  2 Zn 2.10, 1 Pb 2.22
O: 0.3512 0.3512 0.6974  2 Zn 2.10, 1 Pb 2.22
O: 0.6488 0.0000 0.6974  2 Zn 2.10, 1 Pb 2.22
O: 0.6488 0.6488 0.3026  2 Zn 2.10, 1 Pb 2.22


# 9
Density functional theory data (PBE-GGA) for an optimized crystal structure of Na2ZrPbO4.

**ΔE_f (raw)**: -2.036 eV per atom
**Magnetization**: 0.0 μB per formula unit
**Volume**: 14.683 Å³/atom
**Total DFT energy (no corrections)**: -6.377 eV/atom
**SG**: P2/m (10)

Unit cell a=6.0320 b=3.3559 c=6.2788 alpha=90.00 beta=112.45 gamma=90.00
With the nearest neighbours (Å) after each atom.
Atoms (fractional coordinates):
Na: 0.0000 0.0000 0.0000  4 O 2.59
Na: 0.0000 0.5000 0.5000  6 O 2.38-2.55
Zr: 0.5000 0.0000 0.5000  6 O 2.10-2.22
Pb: 0.5000 0.5000 0.0000  6 O 2.50-2.60
O: 0.2850 0.0000 0.6964  1 Zr 2.10
O: 0.2873 0.5000 0.2899  2 Zr 2.22
O: 0.7127 0.5000 0.7101  2 Zr 2.22
O: 0.7150 0.0000 0.3036  1 Zr 2.10


# 10
Density functional theory data (PBE-GGA) for an optimized crystal structure of Na2Pd4O9.

**ΔE_f (raw)**: -0.518 eV per atom
**Magnetization**: 0.0 μB per formula unit
**Volume**: 11.722 Å³/atom
**Total DFT energy (no corrections)**: -5.054 eV/atom
**SG**: P-3c1 (165)

Unit cell a=5.2987 b=5.2987 c=14.4644 alpha=90.00 beta=90.00 gamma=120.00
With the nearest neighbours (Å) after each atom.
Atoms (fractional coordinates):
Na: 0.0000 0.0000 0.1506  6 O 2.19-2.30
Na: 0.0000 0.0000 0.3494  6 O 2.19-2.30
Na: 0.0000 0.0000 0.6506  6 O 2.19-2.30
Na: 0.0000 0.0000 0.8494  6 O 2.19-2.30
Pd: 0.3333 0.6667 0.1813  6 O 2.02-2.16
Pd: 0.3333 0.6667 0.4855  6 O 2.02-2.08
Pd: 0.3333 0.6667 0.6813  6 O 2.02-2.16
Pd: 0.3333 0.6667 0.9855  6 O 2.02-2.08
Pd: 0.6667 0.3333 0.0145  6 O 2.02-2.08
Pd: 0.6667 0.3333 0.3187  6 O 2.02-2.16
Pd: 0.6667 0.3333 0.5145  6 O 2.02-2.08
Pd: 0.6667 0.3333 0.8187  6 O 2.02-2.16
O: 0.0000 0.3377 0.2500  2 Pd 2.02
O: 0.0000 0.6623 0.7500  2 Pd 2.02
O: 0.0417 0.3781 0.5763  3 Pd 2.02-2.16, 1 Na 2.19
O: 0.0417 0.6636 0.0763  3 Pd 2.02-2.16, 1 Na 2.19
O: 0.3364 0.3781 0.0763  3 Pd 2.02-2.16, 1 Na 2.19
O: 0.3364 0.9583 0.5763  3 Pd 2.02-2.16, 1 Na 2.19
O: 0.3377 0.0000 0.2500  2 Pd 2.02
O: 0.3377 0.3377 0.7500  2 Pd 2.02
O: 0.3781 0.0417 0.9237  3 Pd 2.02-2.16, 1 Na 2.19
O: 0.3781 0.3364 0.4237  3 Pd 2.02-2.16, 1 Na 2.19
O: 0.6219 0.6636 0.5763  3 Pd 2.02-2.16, 1 Na 2.19
O: 0.6219 0.9583 0.0763  3 Pd 2.02-2.16, 1 Na 2.19
O: 0.6623 0.0000 0.7500  2 Pd 2.02
O: 0.6623 0.6623 0.2500  2 Pd 2.02
O: 0.6636 0.0417 0.4237  3 Pd 2.02-2.16, 1 Na 2.19
O: 0.6636 0.6219 0.9237  3 Pd 2.02-2.16, 1 Na 2.19
O: 0.9583 0.3364 0.9237  3 Pd 2.02-2.16, 1 Na 2.19
O: 0.9583 0.6219 0.4237  3 Pd 2.02-2.16, 1 Na 2.19


# 11
Density functional theory data (PBE-GGA) for an optimized crystal structure of NaPdO.

**Distance to the lowest polymorph of the same formula**: 0 meV per atom
**ΔE_f (raw)**: -0.396 eV per atom
**Magnetization**: 0.0 μB per formula unit
**Volume**: 16.042 Å³/atom
**Total DFT energy (no corrections)**: -4.219 eV/atom
**SG**: P3m1 (156)

Unit cell a=3.6466 b=3.6466 c=4.1788 alpha=90.00 beta=90.00 gamma=120.00
With the nearest neighbours (Å) after each atom.
Atoms (fractional coordinates):
Na: 0.0000 0.0000 0.0000  3 O 2.74, 6 Pd 2.92-3.02
Pd: 0.6667 0.3333 0.5170  3 O 2.12
O: 0.3333 0.6667 0.5821  3 Pd 2.12


# 12
Density functional theory data (PBE-GGA) for an optimized crystal structure of NaPd2O.

**ΔE_f (raw)**: -0.305 eV per atom
**Magnetization**: 0.0 μB per formula unit
**Volume**: 21.211 Å³/atom
**Total DFT energy (no corrections)**: -4.471 eV/atom
**SG**: I4_1/amd (141)

Unit cell a=7.0959 b=7.0959 c=7.0959 alpha=136.07 beta=136.07 gamma=63.87
With the nearest neighbours (Å) after each atom.
Atoms (fractional coordinates):
Na: 0.3750 0.6250 0.7500  8 Pd 3.33
Na: 0.6250 0.3750 0.2500  8 Pd 3.33
Pd: 0.0000 0.0000 0.0000  2 O 2.01
Pd: 0.0000 0.0000 0.5000  2 O 2.01
Pd: 0.0000 0.5000 0.0000  2 O 2.01
Pd: 0.5000 0.0000 0.5000  2 O 2.01
O: 0.1250 0.8750 0.2500  4 Pd 2.01
O: 0.8750 0.1250 0.7500  4 Pd 2.01


Question: total DFT energy (no corrections) of number 4 (Na4ZnPb3O8)?
Answer: -4.799 eV/atom